No. 1
First-principles (PBE-GGA) data for a relaxed structure of PrOsN3, as listed in Alexandria.

## Properties
final energy: -8.4045 eV per atom
total magnetic moment: 0.00 μB/cell

Cell and atoms, written as POSCAR:
```
PrOsN3
1.0
-3.718 -1.845 1.762
3.261 -3.109 0.188
2.482 3.117 8.498
Pr Os N
2 2 6
direct
0.101 0.101 0.500
0.101 0.101 0.000
0.473 0.773 0.250
0.773 0.473 0.750
0.650 0.303 0.582
0.303 0.650 0.082
0.860 0.019 0.250
0.303 0.650 0.418
0.650 0.303 0.918
0.019 0.860 0.750
```



No. 2
First-principles (PBE-GGA) data for a relaxed structure of Pr3Os5N12, as listed in Alexandria.

## Properties
final energy: -8.7041 eV per atom
total magnetic moment: 0.00 μB/cell

Cell and atoms, written as POSCAR:
```
Pr3Os5N12
1.0
11.212 0.000 0.000
-3.737 10.571 0.000
-3.737 -5.286 9.155
Os Pr N
20 12 48
direct
0.125 0.375 0.250
0.875 0.625 0.750
0.375 0.250 0.125
0.000 0.000 0.500
0.000 0.500 0.500
0.500 0.500 0.500
0.500 0.000 0.500
0.250 0.375 0.625
0.750 0.625 0.375
0.875 0.250 0.625
0.250 0.875 0.125
0.000 0.500 0.000
0.500 0.000 0.000
0.375 0.125 0.750
0.500 0.500 0.000
0.000 0.000 0.000
0.750 0.125 0.875
0.625 0.750 0.875
0.625 0.875 0.250
0.125 0.750 0.375
0.250 0.125 0.375
0.875 0.750 0.125
0.375 0.625 0.250
0.125 0.875 0.750
0.125 0.250 0.875
0.750 0.875 0.625
0.750 0.375 0.125
0.625 0.375 0.750
0.250 0.625 0.875
0.875 0.125 0.250
0.625 0.250 0.375
0.375 0.750 0.625
0.076 0.894 0.386
0.318 0.810 0.424
0.424 0.310 0.318
0.810 0.492 0.386
0.682 0.190 0.576
0.894 0.818 0.508
0.508 0.318 0.894
0.310 0.424 0.818
0.508 0.190 0.114
0.492 0.810 0.886
0.190 0.508 0.614
0.424 0.114 0.606
0.492 0.682 0.106
0.818 0.924 0.310
0.386 0.992 0.810
0.886 0.576 0.894
0.318 0.508 0.394
0.114 0.424 0.106
0.576 0.690 0.682
0.614 0.008 0.190
0.576 0.886 0.394
0.924 0.106 0.614
0.818 0.894 0.008
0.394 0.008 0.318
0.106 0.182 0.492
0.606 0.614 0.424
0.682 0.492 0.606
0.606 0.992 0.682
0.076 0.182 0.190
0.008 0.394 0.818
0.992 0.386 0.310
0.992 0.606 0.182
0.114 0.690 0.508
0.008 0.614 0.690
0.886 0.310 0.492
0.690 0.576 0.182
0.924 0.818 0.810
0.394 0.386 0.576
0.614 0.606 0.924
0.810 0.318 0.924
0.190 0.682 0.076
0.106 0.924 0.114
0.386 0.394 0.076
0.894 0.076 0.886
0.690 0.114 0.008
0.182 0.076 0.690
0.182 0.106 0.992
0.310 0.886 0.992
```



No. 3
First-principles (PBE-GGA) data for a relaxed structure of Pr3Os2N6, as listed in Alexandria.

## Properties
final energy: -8.4989 eV per atom
total magnetic moment: 0.00 μB/cell

Cell and atoms, written as POSCAR:
```
Pr3Os2N6
1.0
-2.052 1.264 -3.072
-1.289 -3.631 -0.632
-6.202 2.937 7.833
Pr N Os
3 6 2
direct
0.186 0.186 0.373
0.000 0.000 0.000
0.814 0.814 0.627
0.697 0.697 0.394
0.413 0.913 0.827
0.087 0.587 0.173
0.303 0.303 0.606
0.913 0.413 0.827
0.587 0.087 0.173
0.410 0.410 0.819
0.590 0.590 0.181
```



No. 4
First-principles (PBE-GGA) data for a relaxed structure of Pr2OsN4, as listed in Alexandria.

## Properties
final energy: -8.3098 eV per atom
total magnetic moment: 0.00 μB/cell

Cell and atoms, written as POSCAR:
```
Pr2OsN4
1.0
6.102 0.000 0.183
0.000 5.688 0.000
-2.040 0.000 6.551
N Pr Os
8 4 2
direct
0.080 0.750 0.931
0.481 0.975 0.254
0.049 0.750 0.364
0.519 0.475 0.746
0.481 0.525 0.254
0.920 0.250 0.069
0.951 0.250 0.636
0.519 0.025 0.746
0.307 0.250 0.961
0.693 0.750 0.039
0.265 0.250 0.446
0.735 0.750 0.554
0.773 0.250 0.807
0.227 0.750 0.193
```



No. 5
First-principles (PBE-GGA) data for a relaxed structure of PrOsN, as listed in Alexandria.

## Properties
final energy: -8.2771 eV per atom
total magnetic moment: 0.00 μB/cell

Cell and atoms, written as POSCAR:
```
PrOsN
1.0
-1.308 -2.554 -0.876
5.060 -2.973 1.113
-3.416 -1.868 10.540
N Pr Os
4 4 4
direct
0.250 0.210 0.669
0.750 0.290 0.169
0.750 0.790 0.331
0.250 0.710 0.831
0.750 0.859 0.654
0.750 0.359 0.846
0.250 0.141 0.346
0.250 0.641 0.154
0.750 0.356 0.571
0.250 0.644 0.429
0.250 0.144 0.071
0.750 0.856 0.929
```



No. 6
First-principles (PBE-GGA) data for a relaxed structure of PrPu2OsN4, as listed in Alexandria.

## Properties
final energy: -10.5836 eV per atom
total magnetic moment: 16.41 μB/cell

Cell and atoms, written as POSCAR:
```
PrPu2OsN4
1.0
-2.962 1.288 -1.039
-0.993 -2.184 5.664
2.922 10.355 4.506
N Pr Pu Os
8 2 4 2
direct
0.734 0.467 0.881
0.000 0.000 0.000
0.266 0.533 0.381
0.734 0.467 0.619
0.000 0.000 0.500
0.266 0.533 0.119
0.550 0.099 0.250
0.450 0.901 0.750
0.890 0.780 0.250
0.110 0.220 0.750
0.631 0.262 0.452
0.369 0.738 0.548
0.631 0.262 0.048
0.369 0.738 0.952
0.850 0.700 0.750
0.150 0.300 0.250
```



No. 7
First-principles (PBE-GGA) data for a relaxed structure of Pr2ReOsN6, as listed in Alexandria.

## Properties
final energy: -8.7919 eV per atom
total magnetic moment: 0.00 μB/cell

Cell and atoms, written as POSCAR:
```
Pr2ReOsN6
1.0
-5.090 1.309 -1.858
-2.267 -2.466 4.472
0.319 6.838 3.932
N Pr Os Re
12 4 2 2
direct
0.949 0.506 0.249
0.217 0.218 0.026
0.282 0.717 0.026
0.717 0.282 0.526
0.782 0.783 0.526
0.449 0.994 0.749
0.718 0.283 0.974
0.283 0.718 0.474
0.051 0.494 0.751
0.551 0.006 0.251
0.218 0.217 0.474
0.783 0.782 0.974
0.998 0.028 0.750
0.502 0.528 0.750
0.002 0.972 0.250
0.498 0.472 0.250
0.000 0.500 0.500
0.500 0.000 0.000
0.000 0.500 0.000
0.500 0.000 0.500
```



No. 8
First-principles (PBE-GGA) data for a relaxed structure of PrSm2OsN4, as listed in Alexandria.

## Properties
final energy: -8.1860 eV per atom
total magnetic moment: 0.00 μB/cell

Cell and atoms, written as POSCAR:
```
PrSm2OsN4
1.0
-3.045 0.320 1.684
-1.112 -3.623 -4.948
2.590 -9.710 6.527
N Sm Os Pr
8 4 2 2
direct
0.730 0.461 0.633
0.567 0.135 0.250
0.270 0.539 0.133
0.000 0.000 0.000
0.270 0.539 0.367
0.000 0.000 0.500
0.433 0.865 0.750
0.730 0.461 0.867
0.632 0.263 0.041
0.368 0.737 0.959
0.368 0.737 0.541
0.632 0.263 0.459
0.853 0.707 0.750
0.147 0.293 0.250
0.881 0.762 0.250
0.119 0.238 0.750
```



- Which of these has the lowest final energy?
  PrPu2OsN4



What did the eighth record say?
First-principles (PBE-GGA) data for a relaxed structure of PrSm2OsN4, as listed in Alexandria.

## Properties
final energy: -8.1860 eV per atom
total magnetic moment: 0.00 μB/cell

Cell and atoms, written as POSCAR:
```
PrSm2OsN4
1.0
-3.045 0.320 1.684
-1.112 -3.623 -4.948
2.590 -9.710 6.527
N Sm Os Pr
8 4 2 2
direct
0.730 0.461 0.633
0.567 0.135 0.250
0.270 0.539 0.133
0.000 0.000 0.000
0.270 0.539 0.367
0.000 0.000 0.500
0.433 0.865 0.750
0.730 0.461 0.867
0.632 0.263 0.041
0.368 0.737 0.959
0.368 0.737 0.541
0.632 0.263 0.459
0.853 0.707 0.750
0.147 0.293 0.250
0.881 0.762 0.250
0.119 0.238 0.750
```



- Which value of total magnetic moment does entry 3 give?
  0.00 μB/cell